No. 1
Below is Tb6CoTe2 at its PBEsol-relaxed geometry, with properties calculated at the SCAN level.

abc: 3.844 8.254 8.254
angles: 120.00 90.00 90.00
Fractional coordinates of all 9 atoms:
Tb1 0.500 0.000 0.403
Tb2 0.500 0.403 0.000
Tb3 0.500 0.597 0.597
Tb4 0.000 0.000 0.763
Tb5 0.000 0.763 0.000
Tb6 0.000 0.237 0.237
Co1 0.500 0.000 0.000
Te1 0.000 0.667 0.333
Te2 0.000 0.333 0.667

mass density	9.3	g/cm3
E_form (uncorrected)	-6.3	eV per formula unit

No. 2
Below is InCuP2 at its PBEsol-relaxed geometry, with properties calculated at the SCAN level.

abc: 3.620 3.620 6.277
angles: 73.24 73.24 60.00
Fractional coordinates of all 4 atoms:
Cu1 0.500 0.500 0.500
In1 0.000 0.000 0.000
P1 0.231 0.231 0.307
P2 0.769 0.769 0.693

mass density	5.9	g/cm3
calculated formation energy	0.62	eV/f.u.

No. 3
Below is BeHg2As at its PBEsol-relaxed geometry, with properties calculated at the SCAN level.

abc: 3.780 3.805 7.037
angles: 95.83 90.00 119.78
Fractional coordinates of all 4 atoms:
Be1 0.231 0.463 0.355
As1 0.564 0.127 0.371
Hg1 0.027 0.055 0.027
Hg2 0.678 0.355 0.747

mass density	9.2	g/cm3
polymorph energy (0 for the lowest one)	0	kJ/mol of formula units
calculated formation energy	0.01	eV/f.u.

No. 4
Below is TiBi2Sb2 at its PBEsol-relaxed geometry, with properties calculated at the SCAN level.

abc: 5.082 7.242 7.242
angles: 90.00 90.00 90.00
Last column: magnetic moment on the atom in μB.
Fractional coordinates of all 10 atoms:
Sb1 0.000 0.348 0.848  -0.02
Sb2 0.000 0.848 0.652  -0.02
Sb3 0.000 0.652 0.152  -0.02
Sb4 0.000 0.152 0.348  -0.02
Bi1 0.500 0.164 0.664  -0.01
Bi2 0.500 0.664 0.836  -0.01
Bi3 0.500 0.836 0.336  -0.01
Bi4 0.500 0.336 0.164  -0.01
Ti1 0.000 0.000 0.000  0.87
Ti2 0.000 0.500 0.500  0.87

mass density	8.8	g/cm3
E_form (uncorrected)	0.9	eV per formula unit

No. 5
Below is GaNi2Pt at its PBEsol-relaxed geometry, with properties calculated at the SCAN level.

abc: 3.662 3.662 3.669
angles: 90.00 90.00 90.00
Last column: magnetic moment on the atom in μB.
Fractional coordinates of all 4 atoms:
Ni1 0.500 0.000 0.500  0.55
Ni2 0.000 0.500 0.500  0.55
Ga1 0.000 0.000 0.000  -0.04
Pt1 0.500 0.500 0.000  0.07

mass density	12.9	g/cm3
calculated formation energy	-1.69	eV/f.u.

No. 6
Below is CsS at its PBEsol-relaxed geometry, with properties calculated at the SCAN level.

abc: 5.120 6.242 6.242
angles: 70.81 65.79 65.79
Fractional coordinates of all 4 atoms:
Cs1 0.731 0.769 0.769
Cs2 0.269 0.231 0.231
S1 0.000 0.145 0.855
S2 0.000 0.855 0.145

mass density	3.4	g/cm3
E_form (uncorrected)	-2.2	eV per formula unit

No. 7
Below is Sr2Cd2Sn at its PBEsol-relaxed geometry, with properties calculated at the SCAN level.

abc: 4.018 4.018 10.274
angles: 101.28 101.28 90.00
Fractional coordinates of all 5 atoms:
Sr1 0.401 0.401 0.801
Sr2 0.599 0.599 0.199
Sn1 0.000 0.000 0.000
Cd1 0.250 0.750 0.500
Cd2 0.750 0.250 0.500

mass density	5.4	g/cm3
calculated formation energy	-1.80	eV/f.u.

No. 8
Below is H4W at its PBEsol-relaxed geometry, with properties calculated at the SCAN level.

abc: 3.041 3.041 6.696
angles: 90.00 90.00 90.00
Fractional coordinates of all 10 atoms:
H1 0.000 0.500 0.863
H2 0.500 0.000 0.137
H3 0.000 0.500 0.400
H4 0.500 0.000 0.600
H5 0.000 0.000 0.697
H6 0.500 0.500 0.303
H7 0.000 0.000 0.303
H8 0.500 0.500 0.697
W1 0.000 0.500 0.142
W2 0.500 0.000 0.858

mass density	10.1	g/cm3
E	-16.544	eV/atom

No. 9
Below is Tl2CrW at its PBEsol-relaxed geometry, with properties calculated at the SCAN level.

abc: 2.968 5.397 5.645
angles: 117.95 104.23 92.05
Last column: magnetic moment on the atom in μB.
Fractional coordinates of all 4 atoms:
Cr1 0.000 0.500 0.000  3.68
Tl1 0.000 0.000 0.500  -0.02
Tl2 0.500 0.500 0.500  -0.02
W1 0.500 0.000 0.000  -0.29

mass density	14.0	g/cm3
polymorph energy (0 for the lowest one)	9	kJ/mol of formula units
calculated formation energy	3.56	eV/f.u.

No. 10
Below is CdPd3 at its PBEsol-relaxed geometry, with properties calculated at the SCAN level.

abc: 3.952 3.952 4.838
angles: 114.11 114.11 90.00
Fractional coordinates of all 4 atoms:
Pd1 0.250 0.750 0.500
Pd2 0.750 0.250 0.500
Pd3 0.500 0.500 0.000
Cd1 0.000 0.000 0.000

mass density	11.6	g/cm3
calculated formation energy	-1.12	eV/f.u.

No. 11
Below is Dy4Te3S4 at its PBEsol-relaxed geometry, with properties calculated at the SCAN level.

abc: 6.619 6.639 7.592
angles: 115.93 95.74 76.77
Fractional coordinates of all 11 atoms:
Dy1 0.757 0.577 0.679
Dy2 0.757 0.898 0.321
Dy3 0.243 0.423 0.321
Dy4 0.243 0.102 0.679
Te1 0.136 0.635 0.000
Te2 0.864 0.365 0.000
Te3 0.500 0.000 0.000
S1 0.000 0.210 0.420
S2 0.000 0.790 0.580
S3 0.500 0.282 0.564
S4 0.500 0.718 0.436

mass density	6.6	g/cm3
E_form (uncorrected)	-21.1	eV per formula unit

No. 12
Below is CaHg2Rh at its PBEsol-relaxed geometry, with properties calculated at the SCAN level.

abc: 4.812 4.812 4.812
angles: 60.00 60.00 60.00
Fractional coordinates of all 4 atoms:
Ca1 0.500 0.500 0.500
Hg1 0.000 0.000 0.000
Hg2 0.750 0.750 0.750
Rh1 0.250 0.250 0.250

mass density	11.5	g/cm3
calculated formation energy	-0.68	eV/f.u.

No. 13
Below is YLuZn2 at its PBEsol-relaxed geometry, with properties calculated at the SCAN level.

abc: 4.915 4.915 4.915
angles: 60.00 60.00 60.00
Fractional coordinates of all 4 atoms:
Y1 0.000 0.000 0.000
Zn1 0.250 0.250 0.250
Zn2 0.750 0.750 0.750
Lu1 0.500 0.500 0.500

mass density	7.8	g/cm3
calculated formation energy	-1.78	eV/f.u.

No. 14
Below is ThCr2B6 at its PBEsol-relaxed geometry, with properties calculated at the SCAN level.

abc: 3.089 5.498 5.498
angles: 72.44 73.68 73.68
Fractional coordinates of all 9 atoms:
Cr1 0.846 0.654 0.654
Cr2 0.154 0.346 0.346
B1 0.697 0.540 0.067
B2 0.303 0.460 0.933
B3 0.303 0.933 0.460
B4 0.500 0.359 0.641
B5 0.500 0.641 0.359
B6 0.697 0.067 0.540
Th1 0.000 0.000 0.000

mass density	8.0	g/cm3
calculated formation energy	-5.23	eV/f.u.

No. 15
Below is RbCa3Fe at its PBEsol-relaxed geometry, with properties calculated at the SCAN level.

abc: 5.603 5.603 5.603
angles: 90.00 90.00 90.00
Last column: magnetic moment on the atom in μB.
Fractional coordinates of all 5 atoms:
Ca1 0.000 0.500 0.000  -0.15
Ca2 0.000 0.000 0.500  -0.15
Ca3 0.500 0.000 0.000  -0.15
Fe1 0.500 0.500 0.500  3.51
Rb1 0.000 0.000 0.000  -0.19

mass density	2.5	g/cm3
calculated formation energy	7.99	eV/f.u.

No. 16
Below is LaSc2Mn at its PBEsol-relaxed geometry, with properties calculated at the SCAN level.

abc: 3.407 5.085 5.826
angles: 115.91 107.00 90.00
Last column: magnetic moment on the atom in μB.
Fractional coordinates of all 4 atoms:
La1 0.553 0.553 0.106  -0.14
Mn1 0.247 0.746 0.494  2.82
Sc1 0.949 0.949 0.898  -0.15
Sc2 0.751 0.252 0.503  -0.23

mass density	5.5	g/cm3
polymorph energy (0 for the lowest one)	52	kJ/mol of formula units
calculated formation energy	0.71	eV/f.u.

No. 17
Below is K2CdHg at its PBEsol-relaxed geometry, with properties calculated at the SCAN level.

abc: 5.635 5.635 5.635
angles: 60.00 60.00 60.00
Fractional coordinates of all 4 atoms:
K1 0.000 0.000 0.000
K2 0.750 0.750 0.750
Hg1 0.250 0.250 0.250
Cd1 0.500 0.500 0.500

mass density	5.1	g/cm3
calculated formation energy	-0.44	eV/f.u.

No. 18
Below is BeGeN2F at its PBEsol-relaxed geometry, with properties calculated at the SCAN level.

abc: 3.727 3.727 3.723
angles: 90.00 90.00 90.00
Fractional coordinates of all 5 atoms:
Be1 0.500 0.500 0.500
Ge1 0.000 0.000 0.000
N1 0.000 0.500 0.000
N2 0.500 0.000 0.000
F1 0.000 0.000 0.500

mass density	4.1	g/cm3
E_form (uncorrected)	2.5	eV per formula unit

No. 19
Below is SrCu2Se2Cl2O6 at its PBEsol-relaxed geometry, with properties calculated at the SCAN level.

abc: 7.118 7.137 8.022
angles: 90.00 96.11 90.00
Last column: magnetic moment on the atom in μB.
Fractional coordinates of all 26 atoms:
Sr1 0.627 0.025 0.066  0.00
Sr2 0.373 0.525 0.934  0.00
Cu1 0.139 0.033 0.904  0.69
Cu2 0.861 0.533 0.096  0.69
Cu3 0.809 0.016 0.587  0.68
Cu4 0.191 0.516 0.413  0.68
Se1 0.626 0.678 0.385  0.00
Se2 0.374 0.178 0.615  0.00
Se3 0.851 0.389 0.781  0.01
Se4 0.149 0.889 0.219  0.01
Cl1 0.624 0.772 0.778  0.00
Cl2 0.376 0.272 0.222  0.00
Cl3 0.942 0.315 0.380  0.07
Cl4 0.058 0.815 0.620  0.07
O1 0.945 0.163 0.763  0.10
O2 0.055 0.663 0.237  0.10
O3 0.638 0.647 0.169  0.07
O4 0.362 0.147 0.831  0.07
O5 0.705 0.361 0.945  0.09
O6 0.295 0.861 0.055  0.09
O7 0.387 0.707 0.388  0.07
O8 0.613 0.207 0.612  0.07
O9 0.691 0.913 0.381  0.08
O10 0.309 0.413 0.619  0.08
O11 0.971 0.974 0.074  0.08
O12 0.029 0.474 0.926  0.08

mass density	4.4	g/cm3
E_form (uncorrected)	-17.2	eV per formula unit

No. 20
Below is LiLaAg2 at its PBEsol-relaxed geometry, with properties calculated at the SCAN level.

abc: 4.583 4.583 5.579
angles: 65.75 65.75 60.00
Fractional coordinates of all 4 atoms:
La1 0.000 0.000 0.000
Ag1 0.790 0.790 0.631
Ag2 0.210 0.210 0.369
Li1 0.500 0.500 0.500

mass density	6.7	g/cm3
calculated formation energy	-1.10	eV/f.u.

No. 21
Below is CsAgO2F at its PBEsol-relaxed geometry, with properties calculated at the SCAN level.

abc: 4.160 4.160 8.802
angles: 90.00 90.00 90.00
Fractional coordinates of all 5 atoms:
Cs1 0.000 0.000 0.000
O1 0.000 0.500 0.000
O2 0.500 0.000 0.000
Ag1 0.000 0.000 0.500
F1 0.500 0.500 0.500

mass density	3.2	g/cm3
E_form (uncorrected)	2.2	eV per formula unit

No. 22
Below is AlCr at its PBEsol-relaxed geometry, with properties calculated at the SCAN level.

abc: 2.997 4.826 5.861
angles: 107.48 90.00 108.09
Last column: magnetic moment on the atom in μB.
Fractional coordinates of all 6 atoms:
Cr1 0.000 0.000 0.500  1.56
Cr2 0.661 0.322 0.351  -0.82
Cr3 0.339 0.678 0.649  -0.82
Al1 0.672 0.344 0.809  0.01
Al2 0.328 0.656 0.191  0.01
Al3 0.000 0.000 0.000  0.00

mass density	5.1	g/cm3
calculated formation energy	-0.21	eV/f.u.

No. 23
Below is NaAlZnRu2 at its PBEsol-relaxed geometry, with properties calculated at the SCAN level.

abc: 4.181 4.500 4.500
angles: 90.00 90.00 90.00
Last column: magnetic moment on the atom in μB.
Fractional coordinates of all 5 atoms:
Ru1 0.000 0.000 0.500  1.19
Ru2 0.000 0.500 0.000  1.19
Zn1 0.500 0.000 0.000  -0.03
Al1 0.500 0.500 0.500  -0.01
Na1 0.000 0.000 0.000  0.03

mass density	6.2	g/cm3
calculated formation energy	8.75	eV/f.u.

No. 24
Below is RbTeS2 at its PBEsol-relaxed geometry, with properties calculated at the SCAN level.

abc: 6.439 6.439 8.494
angles: 112.28 112.28 90.00
Fractional coordinates of all 8 atoms:
S1 0.272 0.875 0.250
S2 0.978 0.375 0.250
S3 0.125 0.022 0.750
S4 0.625 0.728 0.750
Te1 0.250 0.750 0.500
Te2 0.000 0.000 0.000
Rb1 0.750 0.250 0.500
Rb2 0.500 0.500 0.000

mass density	3.1	g/cm3
E_form (uncorrected)	-1.5	eV per formula unit

No. 25
Below is Tb3BWO9 at its PBEsol-relaxed geometry, with properties calculated at the SCAN level.

abc: 5.333 8.444 8.444
angles: 120.00 90.00 90.00
Fractional coordinates of all 28 atoms:
Tb1 0.798 0.274 0.916
Tb2 0.798 0.084 0.358
Tb3 0.298 0.726 0.084
Tb4 0.798 0.642 0.726
Tb5 0.298 0.358 0.274
Tb6 0.298 0.916 0.642
B1 0.635 0.000 0.000
B2 0.135 0.000 0.000
W1 0.754 0.667 0.333
W2 0.254 0.333 0.667
O1 0.464 0.196 0.731
O2 0.964 0.804 0.269
O3 0.144 0.817 0.871
O4 0.520 0.619 0.487
O5 0.144 0.129 0.946
O6 0.520 0.513 0.133
O7 0.144 0.054 0.183
O8 0.020 0.487 0.867
O9 0.964 0.465 0.196
O10 0.644 0.946 0.817
O11 0.644 0.871 0.054
O12 0.644 0.183 0.129
O13 0.020 0.381 0.513
O14 0.464 0.535 0.804
O15 0.964 0.731 0.535
O16 0.520 0.867 0.381
O17 0.464 0.269 0.465
O18 0.020 0.133 0.619

mass density	8.2	g/cm3
E_form (uncorrected)	-46.8	eV per formula unit